Entry 1:
VASP calculation (PBE-GGA) on an optimized crystal structure of MnIrSe4.

Uncorrected formation energy: -33.5 kJ per mole of atoms
Relative energy among the computed polymorphs: 0.000 eV per atom
V: 21.0 A^3/atom

Cell lengths 5.4829, 3.7096, 6.1903 Å; angles 90.00, 90.39, 90.00 degrees
Sites, in units of the cell vectors:
Mn 0.0000 0.0000 0.0000
Ir 0.0000 0.5000 0.5000
Se 0.2468 0.5000 0.1599
Se 0.2490 0.0000 0.6619
Se 0.7510 0.0000 0.3381
Se 0.7532 0.5000 0.8401

=====

Entry 2:
VASP calculation (PBE-GGA) on an optimized crystal structure of MnIr2Se.

Uncorrected formation energy: 24.8 kJ per mole of atoms
V: 15.0 A^3/atom

Cell lengths 5.2893, 5.2893, 5.2893 Å; angles 147.80, 129.84, 60.87 degrees
Sites, in units of the cell vectors:
Mn 0.0000 0.0000 0.0000
Ir 0.4669 0.4669 0.0000
Ir 0.7371 0.2371 0.5000
Se 0.2430 0.7430 0.5000

=====

Entry 3:
VASP calculation (PBE-GGA) on an optimized crystal structure of MnIr2Se.

Uncorrected formation energy: 30.7 kJ per mole of atoms
V: 15.3 A^3/atom

Cell lengths 4.4698, 4.4698, 3.0598 Å; angles 90.00, 90.00, 90.00 degrees
Sites, in units of the cell vectors:
Mn 0.0000 0.0000 0.0000
Ir 0.0000 0.5000 0.5000
Ir 0.5000 0.0000 0.5000
Se 0.5000 0.5000 0.0000